## TbPuTi (GGA-PBE)

Data for an optimized crystal structure of TbPuTi.

Calculated formation energy, eV/atom: 0.334
Spin magnetization, μB/cell: 11.40
Volume, Å³/atom: 24.5

CIF file:
```
data_TbPuTi
_cell_length_a 5.843
_cell_length_b 3.109
_cell_length_c 8.085
_cell_angle_alpha 90.00
_cell_angle_beta 90.00
_cell_angle_gamma 90.00
_symmetry_space_group_name_H-M 'P m m a'
_symmetry_Int_Tables_number 51
loop_
_symmetry_equiv_pos_as_xyz
'x,y,z'
'-x,-y,-z'
'-x+1/2,-y,z'
'x+1/2,y,-z'
'x+1/2,-y,-z'
'-x+1/2,y,z'
'-x,y,-z'
'x,-y,z'
loop_
_atom_site_label
_atom_site_fract_x
_atom_site_fract_y
_atom_site_fract_z
_atom_site_occupancy
Tb1 0.250 0.000 0.136 1
Pu1 0.250 0.500 0.758 1
Ti1 0.000 0.000 0.500 1
```